{
  "formula": "TlCoP2O",
  "functional": "PBE with a Hubbard U",
  "state": "optimized geometry",
  "final_energy_ev_per_atom": -4.3803,
  "crystal_system": "tetragonal",
  "magnetic_moment_mub_per_cell": 1.6,
  "lattice": [[4.8399, 0.0000, 0.0000], [0.0000, 4.8399, 0.0000], [0.0000, 0.0000, 3.4985]],
  "species": ["Tl", "Co", "P", "P", "O"],
  "fractional_positions": [[0.0000, 0.0000, 0.0000], [0.5000, 0.5000, 0.5000], [0.0000, 0.5000, 0.5000], [0.5000, 0.0000, 0.5000], [0.5000, 0.5000, 0.0000]]
}